[1]
## Ba2HoBe2As4 (GGA-PBE)

Data for an optimized crystal structure of Ba2HoBe2As4.

As for the total energy: -4.685 eV/atom. As for the size of the total moment: 0.000 μB per atom.

```
Ba2HoBe2As4
1.0
-0.104 -3.417 2.266
7.181 -1.338 -1.688
-0.411 5.951 5.243
Ho As Ba Be
1 4 2 2
direct
0.000 0.000 0.000 Ho
0.203 0.157 0.405 As
0.797 0.843 0.595 As
0.477 0.245 0.955 As
0.523 0.755 0.045 As
0.862 0.425 0.724 Ba
0.138 0.575 0.276 Ba
0.327 0.022 0.653 Be
0.673 0.978 0.347 Be
```

=====

[2]
## Ba2BeAsIr (GGA-PBE)

Data for an optimized crystal structure of Ba2BeAsIr.

As for the total energy: -4.028 eV/atom. As for the size of the total moment: 0.000 μB per atom.

```
Ba2BeAsIr
1.0
-3.996 -2.494 4.181
2.721 -3.593 0.457
3.064 2.914 4.667
Ba As Be Ir
2 1 1 1
direct
0.500 0.000 0.000 Ba
0.000 0.000 0.500 Ba
0.000 0.000 0.000 As
0.500 0.500 0.500 Be
0.000 0.500 0.000 Ir
```

=====

[3]
## BaLi2BeAs (GGA-PBE)

Data for an optimized crystal structure of BaLi2BeAs.

As for the total energy: -2.768 eV/atom. As for the size of the total moment: 0.000 μB per atom.

```
BaLi2BeAs
1.0
4.906 0.000 0.000
0.000 6.483 0.000
0.000 0.000 4.906
Ba Li As Be
1 2 1 1
direct
0.000 0.500 0.000 Ba
0.000 0.000 0.500 Li
0.500 0.000 0.000 Li
0.000 0.000 0.000 As
0.500 0.500 0.500 Be
```

=====

[4]
## BaLiBeAs2 (GGA-PBE)

Data for an optimized crystal structure of BaLiBeAs2.

As for the total energy: -4.008 eV/atom. As for the size of the total moment: 0.000 μB per atom.

```
BaLiBeAs2
1.0
4.177 0.000 0.000
0.000 4.177 0.000
-2.088 -2.088 6.056
Li As Be Ba
1 2 1 1
direct
0.250 0.750 0.500 Li
0.357 0.357 0.713 As
0.643 0.643 0.287 As
0.750 0.250 0.500 Be
0.000 0.000 0.000 Ba
```

=====

[5]
## Ba2NpBe2As4 (GGA-PBE)

Data for an optimized crystal structure of Ba2NpBe2As4.

As for the total energy: -5.469 eV/atom. As for the size of the total moment: 0.333 μB per atom.

```
Ba2NpBe2As4
1.0
-3.392 1.169 2.038
-4.184 -4.640 -4.302
4.168 -4.231 5.188
Be As Ba Np
2 4 2 1
direct
0.329 0.023 0.659 Be
0.671 0.977 0.341 Be
0.480 0.242 0.959 As
0.797 0.849 0.595 As
0.203 0.151 0.405 As
0.520 0.758 0.041 As
0.862 0.420 0.725 Ba
0.138 0.580 0.275 Ba
0.000 0.000 0.000 Np
```

=====

[6]
## Ba2BeAsO6 (GGA-PBE)

Data for an optimized crystal structure of Ba2BeAsO6.

As for the total energy: -6.159 eV/atom. As for the size of the total moment: 0.100 μB per atom. As for the uncorrected formation energy: -1.96 eV/atom.

```
Ba2BeAsO6
1.0
5.672 0.000 0.000
2.836 4.912 0.000
2.836 1.637 9.165
O As Ba Be
12 2 4 2
direct
0.400 0.400 0.368 O
0.212 0.212 0.876 O
0.788 0.788 0.124 O
0.700 0.212 0.876 O
0.400 0.832 0.368 O
0.600 0.600 0.632 O
0.600 0.168 0.632 O
0.832 0.400 0.368 O
0.168 0.600 0.632 O
0.788 0.300 0.124 O
0.212 0.700 0.876 O
0.300 0.788 0.124 O
0.589 0.589 0.232 As
0.411 0.411 0.768 As
0.288 0.288 0.135 Ba
0.129 0.129 0.612 Ba
0.871 0.871 0.388 Ba
0.712 0.712 0.865 Ba
0.000 0.000 0.000 Be
0.500 0.500 0.500 Be
```

=====

[7]
## BaBe4As3O12 (GGA-PBE)

Data for an optimized crystal structure of BaBe4As3O12.

As for the total energy: -6.327 eV/atom. As for the size of the total moment: 0.000 μB per atom. As for the uncorrected formation energy: -1.81 eV/atom.

```
BaBe4As3O12
1.0
6.283 -0.041 -0.057
-1.554 6.088 -0.057
-1.554 -1.987 5.755
As O Be Ba
3 12 4 1
direct
0.557 0.443 0.000 As
0.000 0.557 0.443 As
0.443 0.000 0.557 As
0.981 0.256 0.386 O
0.339 0.661 0.500 O
0.908 0.500 0.092 O
0.614 0.744 0.019 O
0.092 0.908 0.500 O
0.386 0.981 0.256 O
0.661 0.500 0.339 O
0.500 0.092 0.908 O
0.019 0.614 0.744 O
0.744 0.019 0.614 O
0.256 0.386 0.981 O
0.500 0.339 0.661 O
0.070 0.500 0.930 Be
0.930 0.070 0.500 Be
0.500 0.930 0.070 Be
0.500 0.500 0.500 Be
0.000 0.000 0.000 Ba
```

=====

[8]
## BaBe2AsO6 (GGA-PBE)

Data for an optimized crystal structure of BaBe2AsO6.

As for the total energy: -6.345 eV/atom. As for the size of the total moment: 0.103 μB per atom. As for the uncorrected formation energy: -1.97 eV/atom.

```
BaBe2AsO6
1.0
5.589 -0.150 -0.156
1.613 6.834 -0.810
1.613 -1.063 6.799
Be O As Ba
4 12 2 2
direct
0.141 0.334 0.188 Be
0.359 0.812 0.666 Be
0.641 0.188 0.334 Be
0.859 0.666 0.812 Be
0.532 0.316 0.570 O
0.764 0.950 0.357 O
0.968 0.430 0.684 O
0.264 0.357 0.950 O
0.236 0.050 0.643 O
0.402 0.203 0.225 O
0.736 0.643 0.050 O
0.902 0.225 0.203 O
0.468 0.684 0.430 O
0.098 0.775 0.797 O
0.032 0.570 0.316 O
0.598 0.797 0.775 O
0.750 0.703 0.297 As
0.250 0.297 0.703 As
0.750 0.145 0.855 Ba
0.250 0.855 0.145 Ba
```